(1)
VASP calculation (PBE) on crystalline Na2CdBiSe4 at its relaxed geometry.

Cell lengths 7.211, 4.051, 7.541 Å; angles 90.00, 108.50, 90.00 degrees
Positions (direct):
Na (0.000, 0.000, 0.000)
Na (0.500, 0.500, 0.000)
Cd (0.000, 0.500, 0.500)
Bi (0.500, 0.000, 0.500)
Se (0.233, 0.000, 0.723)
Se (0.254, 0.500, 0.260)
Se (0.746, 0.500, 0.740)
Se (0.767, 0.000, 0.277)

For the energy relative to the elements, uncorrected, the calculation gives -0.643 eV per atom. Its volume is 208.9 Å³/f.u. The total magnetization is 0.0 μB/f.u. The crystal system is monoclinic.



(2)
VASP calculation (PBE) on crystalline NaCdBiSe3 at its relaxed geometry.

Cell lengths 8.739, 4.257, 9.758 Å; angles 90.00, 99.97, 90.00 degrees
Positions (direct):
Na (0.183, 0.250, 0.209)
Na (0.817, 0.750, 0.791)
Cd (0.093, 0.250, 0.603)
Cd (0.907, 0.750, 0.397)
Bi (0.339, 0.750, 0.864)
Bi (0.661, 0.250, 0.136)
Se (0.108, 0.250, 0.878)
Se (0.226, 0.750, 0.503)
Se (0.418, 0.750, 0.151)
Se (0.582, 0.250, 0.849)
Se (0.774, 0.250, 0.497)
Se (0.892, 0.750, 0.122)

For the energy relative to the elements, uncorrected, the calculation gives -0.626 eV per atom. Its volume is 178.8 Å³/f.u. The total magnetization is 0.0 μB/f.u. The crystal system is monoclinic.



(3)
VASP calculation (PBE) on crystalline NaSmCdBi at its relaxed geometry.

Cell lengths 5.441, 5.441, 5.441 Å; angles 60.00, 60.00, 60.00 degrees
Positions (direct):
Na (0.000, 0.000, 0.000)
Sm (0.500, 0.500, 0.500)
Cd (0.250, 0.250, 0.250)
Bi (0.750, 0.750, 0.750)

Its volume is 113.9 Å³/f.u. The total magnetization is 0.0 μB/f.u. The crystal system is cubic. Its formation enthalpy at 0 K is -332 meV/atom.



(4)
VASP calculation (PBE) on crystalline NaCdSnBi at its relaxed geometry.

Cell lengths 5.436, 5.436, 5.436 Å; angles 60.00, 60.00, 60.00 degrees
Positions (direct):
Na (0.000, 0.000, 0.000)
Cd (0.250, 0.250, 0.250)
Sn (0.500, 0.500, 0.500)
Bi (0.750, 0.750, 0.750)

Its volume is 113.6 Å³/f.u. The total magnetization is 0.0 μB/f.u. The crystal system is cubic. Its formation enthalpy at 0 K is -84 meV/atom.



(5)
VASP calculation (PBE) on crystalline Na2SrCdBi2 at its relaxed geometry.

Cell lengths 4.911, 9.444, 8.296 Å; angles 90.00, 90.00, 90.00 degrees
Positions (direct):
Na (0.000, 0.077, 0.000)
Na (0.000, 0.923, 0.500)
Na (0.500, 0.171, 0.325)
Na (0.500, 0.829, 0.825)
Sr (0.500, 0.442, 0.949)
Sr (0.500, 0.558, 0.449)
Cd (0.000, 0.312, 0.610)
Cd (0.000, 0.688, 0.110)
Bi (0.000, 0.375, 0.235)
Bi (0.000, 0.625, 0.735)
Bi (0.500, 0.150, 0.710)
Bi (0.500, 0.850, 0.210)

Its volume is 192.4 Å³/f.u. The total magnetization is 0.0 μB/f.u. The crystal system is orthorhombic. Its formation enthalpy at 0 K is -523 meV/atom.



(6)
VASP calculation (PBE) on crystalline NaSrCdBi at its relaxed geometry.

Cell lengths 5.638, 5.638, 5.638 Å; angles 60.00, 60.00, 60.00 degrees
Positions (direct):
Na (0.000, 0.000, 0.000)
Sr (0.500, 0.500, 0.500)
Cd (0.250, 0.250, 0.250)
Bi (0.750, 0.750, 0.750)

Its volume is 126.7 Å³/f.u. The total magnetization is 0.0 μB/f.u. The crystal system is cubic. Its formation enthalpy at 0 K is -483 meV/atom.



(7)
VASP calculation (PBE) on crystalline NaTbCdBi at its relaxed geometry.

Cell lengths 5.396, 5.396, 5.396 Å; angles 60.00, 60.00, 60.00 degrees
Positions (direct):
Na (0.000, 0.000, 0.000)
Tb (0.500, 0.500, 0.500)
Cd (0.250, 0.250, 0.250)
Bi (0.750, 0.750, 0.750)

Its volume is 111.1 Å³/f.u. The total magnetization is 0.0 μB/f.u. The crystal system is cubic. Its formation enthalpy at 0 K is -302 meV/atom.



(8)
VASP calculation (PBE) on crystalline NaThCdBi at its relaxed geometry.

Cell lengths 5.463, 5.463, 5.463 Å; angles 60.00, 60.00, 60.00 degrees
Positions (direct):
Na (0.000, 0.000, 0.000)
Th (0.500, 0.500, 0.500)
Cd (0.750, 0.750, 0.750)
Bi (0.250, 0.250, 0.250)

Its volume is 115.3 Å³/f.u. The total magnetization is 0.0 μB/f.u. The crystal system is cubic. Its formation enthalpy at 0 K is -128 meV/atom.